(1)
# In2HgP (PBE, optimized geometry)
data_In2HgP
_chemical_formula_sum 'In2 Hg1 P1'
_space_group_name_H-M_alt 'P 1'
_space_group_IT_number 1
_cell_length_a 7.558
_cell_length_b 7.558
_cell_length_c 3.789
_cell_angle_alpha 78.93
_cell_angle_beta 78.93
_cell_angle_gamma 28.62
loop_
_space_group_symop_operation_xyz
'x,y,z'
loop_
_atom_site_label
_atom_site_fract_x
_atom_site_fract_y
_atom_site_fract_z
_atom_site_occupancy
Hg1 0.802 0.802 0.725 1
In1 0.978 0.978 0.997 1
In2 0.181 0.181 0.334 1
P1 0.538 0.538 0.444 1
# calculated formation energy: 83 meV/atom
# ρ: 7.5 g/cm³
# volume: 25.41 Å³ per atom
# energy above the lowest structure with this stoichiometry: 41 kJ/mol of formula units
# total magnetic moment: 0.00 μB/cell


(2)
# CuRh2Br (PBE, optimized geometry)
data_CuRh2Br
_chemical_formula_sum 'Cu1 Rh2 Br1'
_space_group_name_H-M_alt 'P 1'
_space_group_IT_number 1
_cell_length_a 2.905
_cell_length_b 2.905
_cell_length_c 8.706
_cell_angle_alpha 90.00
_cell_angle_beta 90.00
_cell_angle_gamma 120.86
loop_
_space_group_symop_operation_xyz
'x,y,z'
loop_
_atom_site_label
_atom_site_fract_x
_atom_site_fract_y
_atom_site_fract_z
_atom_site_occupancy
Br1 0.500 0.500 0.250 1
Cu1 0.500 0.500 0.750 1
Rh1 0.000 0.000 0.991 1
Rh2 0.000 0.000 0.509 1
# ρ: 9.2 g/cm³
# volume: 15.76 Å³ per atom
# formation energy (no corrections): 0.58 eV/atom
# energy above the lowest structure with this stoichiometry: 97 kJ/mol of formula units
# total magnetic moment: 0.00 μB/cell